Record 1
First-principles (PBE-GGA) data for crystalline Ac5Sn4Hg at its relaxed geometry, as listed in Alexandria via LeMat-Bulk.

The structure in POSCAR format:
```
Ac5Sn4Hg
1.0
-6.193 1.953 2.123
-1.312 -1.017 8.099
-0.465 7.910 2.359
Ac Hg Sn
5 1 4
Cartesian
-1.331 1.235 5.446 Ac
-4.586 4.318 4.109 Ac
-3.087 4.436 8.371 Ac
-3.741 1.180 1.283 Ac
-6.342 7.518 7.034 Ac
-0.735 0.232 0.252 Hg
-4.443 1.957 6.581 Sn
-1.557 3.269 2.800 Sn
-3.165 6.776 5.876 Sn
-6.051 5.464 9.657 Sn
```

ΔE_f = -0.505 eV per atom
SG = No. 79


Record 2
First-principles (PBE-GGA) data for crystalline AcSnHg3 at its relaxed geometry, as listed in Alexandria via LeMat-Bulk.

The structure in POSCAR format:
```
AcSnHg3
1.0
6.412 0.000 0.000
0.000 6.853 -0.001
0.000 0.000 6.705
Sn Hg Ac
2 6 2
Cartesian
3.049 4.295 1.344 Sn
1.102 0.869 4.699 Sn
3.219 0.052 2.862 Hg
5.197 2.340 1.346 Hg
3.220 0.057 6.539 Hg
0.930 3.482 6.210 Hg
0.932 3.479 3.183 Hg
5.366 5.766 4.700 Hg
6.314 6.127 1.347 Ac
4.249 2.700 4.697 Ac
```

E above lowest polymorph = 18.4 meV per atom
ΔE_f = -0.307 eV per atom
SG = No. 31


Record 3
First-principles (PBE-GGA) data for crystalline Ac12Sn7Hg at its relaxed geometry, as listed in Alexandria via LeMat-Bulk.

The structure in POSCAR format:
```
Ac12Sn7Hg
1.0
-7.899 4.319 3.850
3.124 -6.778 6.338
7.017 6.773 -0.879
Sn Ac Hg
7 12 1
Cartesian
5.257 -3.533 5.429 Sn
-1.208 -3.247 8.586 Sn
3.450 7.561 0.724 Sn
-5.836 1.497 5.770 Sn
8.078 2.817 3.539 Sn
1.121 2.157 4.655 Sn
-3.015 7.846 3.880 Sn
-0.894 2.918 1.216 Ac
2.935 5.399 6.287 Ac
-2.673 1.737 4.828 Ac
2.368 4.801 2.194 Ac
3.136 1.396 8.093 Ac
3.137 -1.088 4.738 Ac
-0.680 3.577 8.001 Ac
-0.693 -1.085 3.023 Ac
-0.126 -0.487 7.115 Ac
4.915 2.577 4.481 Ac
-0.895 5.402 4.572 Ac
2.922 0.737 1.308 Ac
0.000 0.000 0.000 Hg
```

ΔE_f = -0.463 eV per atom
SG = No. 148


Record 4
First-principles (PBE-GGA) data for crystalline Ac2SnHg4 at its relaxed geometry, as listed in Alexandria via LeMat-Bulk.

The structure in POSCAR format:
```
Ac2SnHg4
1.0
5.263 0.000 1.644
2.375 4.697 1.644
0.207 0.127 8.582
Sn Hg Ac
1 4 2
Cartesian
0.000 0.000 0.000 Sn
4.374 2.690 4.491 Hg
6.710 4.126 6.259 Hg
3.471 2.135 7.380 Hg
1.135 0.698 5.612 Hg
2.116 1.301 2.472 Ac
5.729 3.523 9.399 Ac
```

E above lowest polymorph = 0.0 meV per atom
ΔE_f = -0.440 eV per atom
SG = No. 166


Record 5
First-principles (PBE-GGA) data for crystalline Ac2SnHg8 at its relaxed geometry, as listed in Alexandria via LeMat-Bulk.

The structure in POSCAR format:
```
Ac2SnHg8
1.0
4.941 0.000 0.000
0.000 7.268 -0.223
-2.470 -3.297 8.759
Hg Ac Sn
8 2 1
Cartesian
2.470 5.325 2.030 Hg
0.000 5.097 -0.058 Hg
0.000 -1.355 6.506 Hg
0.000 1.796 6.517 Hg
2.470 -1.126 8.594 Hg
2.470 3.810 5.927 Hg
0.000 0.160 2.609 Hg
2.470 2.175 2.019 Hg
2.470 0.211 4.954 Ac
0.000 3.759 3.582 Ac
2.470 0.000 0.000 Sn
```

E above lowest polymorph = 18.4 meV per atom
ΔE_f = -0.276 eV per atom
SG = No. 12


Record 6
First-principles (PBE-GGA) data for crystalline AcSnHg at its relaxed geometry, as listed in Alexandria via LeMat-Bulk.

The structure in POSCAR format:
```
AcSnHg
1.0
3.961 0.000 0.000
0.000 3.961 0.000
-1.980 -1.980 5.887
Sn Ac Hg
1 1 1
Cartesian
1.980 1.980 2.181 Sn
1.980 1.980 5.814 Ac
0.000 0.000 3.779 Hg
```

E above lowest polymorph = 175.8 meV per atom
ΔE_f = -0.392 eV per atom
SG = No. 107


Record 7
First-principles (PBE-GGA) data for crystalline AcTb2Sn2Hg2 at its relaxed geometry, as listed in Alexandria via LeMat-Bulk.

The structure in POSCAR format:
```
AcTb2Sn2Hg2
1.0
5.077 0.000 0.000
2.539 4.397 0.000
2.539 1.466 9.217
Tb Hg Ac Sn
2 2 1 2
Cartesian
2.539 1.466 5.544 Tb
7.616 4.397 3.673 Tb
5.077 2.931 6.366 Hg
5.077 2.931 2.851 Hg
0.000 0.000 0.000 Ac
2.539 1.466 1.960 Sn
7.616 4.397 7.257 Sn
```

ΔE_f = -0.378 eV per atom
SG = No. 166


Record 8
First-principles (PBE-GGA) data for crystalline AcSnHgTe at its relaxed geometry, as listed in Alexandria via LeMat-Bulk.

The structure in POSCAR format:
```
AcSnHgTe
1.0
-4.264 -1.731 -3.134
-4.324 -2.588 2.367
-4.930 2.564 0.346
Te Ac Sn Hg
1 1 1 1
Cartesian
-10.139 -1.316 -0.316 Te
-6.759 -0.877 -0.211 Ac
0.000 0.000 0.000 Sn
-3.380 -0.439 -0.105 Hg
```

uncorrected formation energy = -0.582 eV per atom
SG = No. 216


Record 9
First-principles (PBE-GGA) data for crystalline AcTmSnHg at its relaxed geometry, as listed in Alexandria via LeMat-Bulk.

The structure in POSCAR format:
```
AcTmSnHg
1.0
-3.285 2.043 3.929
1.374 -0.562 5.309
1.595 4.399 2.915
Ac Hg Sn Tm
1 1 1 1
Cartesian
-0.158 2.940 6.076 Ac
-0.236 4.410 9.114 Hg
-0.079 1.470 3.038 Sn
0.000 0.000 0.000 Tm
```

ΔE_f = -0.488 eV per atom
SG = No. 216


Record 10
First-principles (PBE-GGA) data for crystalline AcYSnHg at its relaxed geometry, as listed in Alexandria via LeMat-Bulk.

The structure in POSCAR format:
```
AcYSnHg
1.0
5.544 0.000 0.000
2.772 4.802 0.000
2.772 1.601 4.527
Y Ac Sn Hg
1 1 1 1
Cartesian
5.544 3.201 2.263 Y
0.000 0.000 0.000 Ac
2.772 1.601 1.132 Sn
8.317 4.802 3.395 Hg
```

ΔE_f = -0.539 eV per atom
SG = No. 216


Record 11
First-principles (PBE-GGA) data for crystalline AcY2Sn2Hg2 at its relaxed geometry, as listed in Alexandria via LeMat-Bulk.

The structure in POSCAR format:
```
AcY2Sn2Hg2
1.0
-1.686 4.078 -2.518
-1.715 -0.482 -4.758
-9.616 -0.325 0.786
Sn Y Hg Ac
2 2 2 1
Cartesian
-10.072 2.398 -4.751 Sn
-2.944 0.873 -1.740 Sn
-6.237 0.282 -0.494 Y
-6.780 2.989 -5.997 Y
-4.898 1.925 -3.855 Hg
-8.118 1.346 -2.636 Hg
0.000 0.000 0.000 Ac
```

ΔE_f = -0.382 eV per atom
SG = No. 166


Record 12
First-principles (PBE-GGA) data for crystalline Ac2Zn4Sn3Hg at its relaxed geometry, as listed in Alexandria via LeMat-Bulk.

The structure in POSCAR format:
```
Ac2Zn4Sn3Hg
1.0
-1.030 -4.043 2.235
2.018 -2.454 -3.509
9.639 0.439 5.238
Sn Ac Hg Zn
3 2 1 4
Cartesian
4.819 0.219 2.619 Sn
2.265 -1.170 -1.072 Sn
7.868 -1.640 5.673 Sn
1.875 -1.913 2.416 Ac
8.258 -0.897 2.184 Ac
5.313 -3.029 1.982 Hg
0.494 -3.249 -0.637 Zn
4.579 -1.064 0.185 Zn
0.000 0.000 0.000 Zn
5.554 -1.746 4.415 Zn
```

ΔE_f = -0.401 eV per atom
SG = No. 115


Magnetic moment / μB per cell: 0.0; 0.0; 0.0; 0.0; 0.0; 0.0; 0.0; 0.0; 0.0; 0.0; 0.0; 0.0